Below is crystalline P6IrCl11 at its relaxed geometry, with properties calculated at the PBE level.

Calculated values
The calculated volume is 32.4 Å³/atom. For the total magnetization, the calculation gives 0.0 Bohr magnetons per cell. The value obtained for the formation energy (no corrections) is -0.257 eV/atom.

a = 9.053 Å, b = 9.053 Å, c = 7.490 Å
α = 87.36°, β = 87.36°, γ = 107.76°
Sites, in units of the cell vectors:
P 0.209 0.209 0.828
P 0.791 0.791 0.172
P 0.013 0.818 0.785
P 0.182 0.987 0.215
P 0.987 0.182 0.215
P 0.818 0.013 0.785
Ir 0.000 0.000 0.000
Cl 0.855 0.254 0.729
Cl 0.746 0.145 0.271
Cl 0.145 0.746 0.271
Cl 0.254 0.855 0.729
Cl 0.268 0.268 0.292
Cl 0.732 0.732 0.708
Cl 0.212 0.428 0.897
Cl 0.572 0.788 0.103
Cl 0.788 0.572 0.103
Cl 0.428 0.212 0.897
Cl 0.000 0.000 0.500

***

Below is crystalline PIr2Cl at its relaxed geometry, with properties calculated at the PBE level.

Calculated values
The calculated volume is 15.3 Å³/atom. For the total magnetization, the calculation gives 0.0 Bohr magnetons per cell. The value obtained for the formation energy (no corrections) is 0.333 eV/atom.

a = 2.950 Å, b = 2.950 Å, c = 7.020 Å
α = 90.00°, β = 90.00°, γ = 90.00°
Sites, in units of the cell vectors:
Cl 0.500 0.500 0.750
Ir 0.000 0.000 0.057
Ir 0.000 0.000 0.443
P 0.500 0.500 0.250

***

Below is crystalline P2IrPbCl at its relaxed geometry, with properties calculated at the PBE level.

Calculated values
The calculated volume is 36.3 Å³/atom. For the total magnetization, the calculation gives 0.0 Bohr magnetons per cell. The value obtained for the formation energy (no corrections) is 0.330 eV/atom.

a = 4.432 Å, b = 4.432 Å, c = 9.243 Å
α = 90.00°, β = 90.00°, γ = 90.00°
Sites, in units of the cell vectors:
Pb 0.500 0.500 0.500
P 0.000 0.500 0.000
P 0.500 0.000 0.000
Ir 0.000 0.000 0.000
Cl 0.000 0.000 0.500

***

Below is crystalline PIrPbCl2 at its relaxed geometry, with properties calculated at the PBE level.

Calculated values
The calculated volume is 30.9 Å³/atom. For the total magnetization, the calculation gives 1.3 Bohr magnetons per cell. The value obtained for the formation energy (no corrections) is 1.227 eV/atom.

a = 5.250 Å, b = 5.250 Å, c = 5.602 Å
α = 90.00°, β = 90.00°, γ = 90.00°
Last column: magnetic moment on the atom in μB.
Sites, in units of the cell vectors:
Pb 0.000 0.000 0.000  -0.02
P 0.000 0.000 0.500  -0.49
Ir 0.500 0.500 0.500  2.13
Cl 0.000 0.500 0.000  0.00
Cl 0.500 0.000 0.000  0.00

***

Below is crystalline P2IrPbCl at its relaxed geometry, with properties calculated at the PBE level.

Calculated values
The calculated volume is 27.3 Å³/atom. For the total magnetization, the calculation gives 1.2 Bohr magnetons per cell. The value obtained for the formation energy (no corrections) is 1.788 eV/atom.

a = 5.184 Å, b = 5.184 Å, c = 5.088 Å
α = 90.00°, β = 90.00°, γ = 90.00°
Last column: magnetic moment on the atom in μB.
Sites, in units of the cell vectors:
Pb 0.000 0.000 0.000  -0.01
P 0.000 0.500 0.000  -0.11
P 0.500 0.000 0.000  -0.11
Ir 0.500 0.500 0.500  1.51
Cl 0.000 0.000 0.500  0.04

***

Below is crystalline PIrPbCl2 at its relaxed geometry, with properties calculated at the PBE level.

Calculated values
The calculated volume is 25.4 Å³/atom. For the total magnetization, the calculation gives 0.0 Bohr magnetons per cell. The value obtained for the formation energy (no corrections) is 0.075 eV/atom.

a = 5.313 Å, b = 5.313 Å, c = 4.498 Å
α = 90.00°, β = 90.00°, γ = 90.00°
Sites, in units of the cell vectors:
Pb 0.500 0.500 0.500
P 0.000 0.000 0.500
Ir 0.000 0.000 0.000
Cl 0.000 0.500 0.000
Cl 0.500 0.000 0.000

***

Below is crystalline PIrPdCl2 at its relaxed geometry, with properties calculated at the PBE level.

Calculated values
The calculated volume is 21.2 Å³/atom. For the total magnetization, the calculation gives 2.3 Bohr magnetons per cell. The value obtained for the formation energy (no corrections) is 1.107 eV/atom.

a = 4.707 Å, b = 4.707 Å, c = 4.782 Å
α = 90.00°, β = 90.00°, γ = 90.00°
Last column: magnetic moment on the atom in μB.
Sites, in units of the cell vectors:
P 0.000 0.000 0.500  0.00
Ir 0.500 0.500 0.500  1.88
Pd 0.000 0.000 0.000  0.00
Cl 0.000 0.500 0.000  0.11
Cl 0.500 0.000 0.000  0.11

***

Below is crystalline P2IrPdCl at its relaxed geometry, with properties calculated at the PBE level.

Calculated values
The calculated volume is 20.8 Å³/atom. For the total magnetization, the calculation gives 0.0 Bohr magnetons per cell. The value obtained for the formation energy (no corrections) is 0.648 eV/atom.

a = 4.519 Å, b = 4.519 Å, c = 5.087 Å
α = 90.00°, β = 90.00°, γ = 90.00°
Sites, in units of the cell vectors:
P 0.000 0.500 0.000
P 0.500 0.000 0.000
Ir 0.000 0.000 0.000
Pd 0.500 0.500 0.500
Cl 0.000 0.000 0.500